This record from Alexandria via LeMat-Bulk describes a relaxed structure of Sr4RhAu. The functional is PBE.

Lattice parameters (Å, degrees): 5.2853 5.2863 7.5442 89.95 89.98 90.00
Closest atoms and distances in Å follow each position.
Fractional positions:
Rh (0.0013, 0.9972, 0.4981)  8 Sr 3.19-3.20
Sr (0.0015, 0.4976, 0.7359)  2 Rh 3.19-3.20, 2 Au 3.30
Sr (0.5012, 0.9969, 0.2603)  2 Rh 3.19-3.20, 2 Au 3.30
Sr (0.0011, 0.4970, 0.2604)  2 Rh 3.19-3.20, 2 Au 3.30
Sr (0.5014, 0.9977, 0.7359)  2 Rh 3.19-3.20, 2 Au 3.30
Au (0.5013, 0.4973, 0.9982)  8 Sr 3.30

Calculated values
E_form   -0.372 eV per atom
Magnetization   0.000 μB/atom
Calculated total energy   -3.265 eV per atom
Polymorph energy (0 for the lowest one)   0 meV per atom

---

This record from Alexandria via LeMat-Bulk describes a relaxed structure of SrRh2Au2. The functional is PBE.

Lattice parameters (Å, degrees): 7.7942 7.7942 3.1689 90.00 90.00 90.00
Closest atoms and distances in Å follow each position.
Fractional positions:
Au (0.1767, 0.6767, 0.5000)  6 Rh 2.75-2.84
Au (0.6767, 0.8233, 0.5000)  6 Rh 2.75-2.84
Au (0.8233, 0.3233, 0.5000)  6 Rh 2.75-2.84
Au (0.3233, 0.1767, 0.5000)  6 Rh 2.75-2.84
Sr (0.5000, 0.5000, 0.0000)  4 Rh 3.11, 2 Sr 3.17, 8 Au 3.28
Sr (0.0000, 0.0000, 0.0000)  4 Rh 3.11, 2 Sr 3.17, 8 Au 3.28
Rh (0.8805, 0.6195, 0.0000)  1 Rh 2.63, 6 Au 2.75-2.84
Rh (0.6195, 0.1195, 0.0000)  1 Rh 2.63, 6 Au 2.75-2.84
Rh (0.3805, 0.8805, 0.0000)  1 Rh 2.63, 6 Au 2.75-2.84
Rh (0.1195, 0.3805, 0.0000)  1 Rh 2.63, 6 Au 2.75-2.84

Calculated values
E_form   -0.089 eV per atom
Magnetization   0.000 μB/atom
Calculated total energy   -4.677 eV per atom
Polymorph energy (0 for the lowest one)   10 meV per atom

---

This record from Alexandria via LeMat-Bulk describes a relaxed structure of SrTbRhAu. The functional is PBE.

Lattice parameters (Å, degrees): 5.1028 5.1028 5.1028 60.00 60.00 60.00
Closest atoms and distances in Å follow each position.
Fractional positions:
Rh (0.7500, 0.7500, 0.7500)  4 Tb 3.12, 4 Sr 3.12
Au (0.2500, 0.2500, 0.2500)  4 Sr 3.12, 4 Tb 3.12
Tb (0.5000, 0.5000, 0.5000)  4 Au 3.12, 4 Rh 3.12
Sr (0.0000, 0.0000, 0.0000)  4 Rh 3.12, 4 Au 3.12

Calculated values
E_form   -0.568 eV per atom
Magnetization   0.000 μB/atom
Calculated total energy   -4.804 eV per atom

---

This record from Alexandria via LeMat-Bulk describes a relaxed structure of Sr8TlRhAu2. The functional is PBE.

Lattice parameters (Å, degrees): 7.4429 7.2683 9.4399 89.97 90.00 88.87
Closest atoms and distances in Å follow each position.
Fractional positions:
Sr (0.6519, 0.7276, 0.4999)  2 Au 3.16, 1 Tl 3.29
Sr (0.3199, 0.2501, 0.0000)  1 Rh 3.02, 2 Au 3.23
Sr (0.1636, 0.7686, 0.2222)  1 Rh 2.94, 1 Au 3.15
Sr (0.1638, 0.7687, 0.7778)  1 Rh 2.94, 1 Au 3.15
Sr (0.8364, 0.2314, 0.7778)  1 Rh 2.94, 1 Au 3.15
Sr (0.6801, 0.7499, 0.0000)  1 Rh 3.02, 2 Au 3.23
Sr (0.8362, 0.2313, 0.2222)  1 Rh 2.94, 1 Au 3.15
Sr (0.3481, 0.2724, 0.5001)  2 Au 3.16, 1 Tl 3.29
Tl (0.0000, 0.0000, 0.5000)  6 Sr 3.29-3.33
Rh (0.0000, 0.0000, 0.0000)  6 Sr 2.94-3.02
Au (0.5000, 0.5000, 0.2427)  6 Sr 3.15-3.23
Au (0.5000, 0.5000, 0.7573)  6 Sr 3.15-3.23

Calculated values
E_form   -0.376 eV per atom
Magnetization   0.000 μB/atom
Calculated total energy   -2.853 eV per atom

---

This record from Alexandria via LeMat-Bulk describes a relaxed structure of SrYRhAu. The functional is PBE.

Lattice parameters (Å, degrees): 5.0999 5.0999 5.0999 60.00 60.00 60.00
Closest atoms and distances in Å follow each position.
Fractional positions:
Au (0.0000, 0.0000, 0.0000)  4 Sr 3.12, 4 Y 3.12
Y (0.7500, 0.7500, 0.7500)  4 Rh 3.12, 4 Au 3.12
Rh (0.5000, 0.5000, 0.5000)  4 Y 3.12, 4 Sr 3.12
Sr (0.2500, 0.2500, 0.2500)  4 Au 3.12, 4 Rh 3.12

Calculated values
E_form   -0.566 eV per atom
Magnetization   0.000 μB/atom
Calculated total energy   -5.259 eV per atom

---

This record from Alexandria via LeMat-Bulk describes a relaxed structure of SrZnRh2Au. The functional is PBE.

Lattice parameters (Å, degrees): 4.7340 4.7956 4.7340 90.00 90.00 90.00
Closest atoms and distances in Å follow each position.
Fractional positions:
Rh (0.5000, 0.0000, 0.0000)  2 Zn 2.37
Rh (0.0000, 0.0000, 0.5000)  2 Zn 2.37
Au (0.0000, 0.5000, 0.0000)  2 Zn 2.40
Zn (0.0000, 0.0000, 0.0000)  4 Rh 2.37, 2 Au 2.40
Sr (0.5000, 0.5000, 0.5000)  4 Au 3.35, 8 Rh 3.37

Calculated values
E_form   0.112 eV per atom
Magnetization   0.000 μB/atom
Calculated total energy   -4.075 eV per atom

---

This record from Alexandria via LeMat-Bulk describes a relaxed structure of Ta3Rh4Au. The functional is PBE.

Lattice parameters (Å, degrees): 4.8124 5.7641 9.1526 90.00 90.00 90.00
Closest atoms and distances in Å follow each position.
Fractional positions:
Rh (0.5000, 0.7530, 0.0000)  6 Ta 2.75-2.80, 2 Au 2.81, 4 Rh 2.85-2.92
Rh (0.1362, 0.7504, 0.7500)  6 Ta 2.71-2.90, 2 Au 2.78, 4 Rh 2.88-2.89
Rh (0.5000, 0.2470, 0.0000)  6 Ta 2.75-2.80, 2 Au 2.81, 4 Rh 2.85-2.92
Rh (0.1362, 0.2496, 0.7500)  6 Ta 2.71-2.90, 2 Au 2.78, 4 Rh 2.88-2.89
Rh (0.5000, 0.2470, 0.5000)  6 Ta 2.75-2.80, 2 Au 2.81, 4 Rh 2.85-2.92
Rh (0.8638, 0.7504, 0.2500)  6 Ta 2.71-2.90, 2 Au 2.78, 4 Rh 2.88-2.89
Rh (0.5000, 0.7530, 0.5000)  6 Ta 2.75-2.80, 2 Au 2.81, 4 Rh 2.85-2.92
Rh (0.8638, 0.2496, 0.2500)  6 Ta 2.71-2.90, 2 Au 2.78, 4 Rh 2.88-2.89
Au (0.0000, 0.5000, 0.5000)  8 Rh 2.78-2.81, 4 Ta 2.85-2.88
Au (0.0000, 0.5000, 0.0000)  8 Rh 2.78-2.81, 4 Ta 2.85-2.88
Ta (0.0000, 0.0000, 0.5000)  8 Rh 2.78-2.80, 2 Au 2.88, 2 Ta 2.95
Ta (0.0000, 0.0000, 0.0000)  8 Rh 2.78-2.80, 2 Au 2.88, 2 Ta 2.95
Ta (0.3547, 0.5000, 0.2500)  8 Rh 2.77-2.84, 2 Au 2.85, 2 Ta 2.89
Ta (0.6138, 0.0000, 0.7500)  8 Rh 2.71-2.90, 4 Ta 2.89-2.95
Ta (0.6453, 0.5000, 0.7500)  8 Rh 2.77-2.84, 2 Au 2.85, 2 Ta 2.89
Ta (0.3862, 0.0000, 0.2500)  8 Rh 2.71-2.90, 4 Ta 2.89-2.95

Calculated values
E_form   -0.425 eV per atom
Magnetization   0.000 μB/atom
Calculated total energy   -8.955 eV per atom

---

This record from Alexandria via LeMat-Bulk describes a relaxed structure of TaRhAu. The functional is PBE.

Lattice parameters (Å, degrees): 5.4744 5.1414 8.5617 90.00 90.00 122.17
Closest atoms and distances in Å follow each position.
Fractional positions:
Au (0.1469, 0.2939, 0.5472)  1 Au 2.68, 4 Ta 2.72-2.87, 4 Rh 2.89-2.91
Au (0.3531, 0.7061, 0.0472)  1 Au 2.68, 4 Ta 2.72-2.87, 4 Rh 2.89-2.91
Au (0.8531, 0.7061, 0.4528)  1 Au 2.68, 4 Ta 2.72-2.87, 4 Rh 2.89-2.91
Au (0.6469, 0.2939, 0.9528)  1 Au 2.68, 4 Ta 2.72-2.87, 4 Rh 2.89-2.91
Ta (0.4044, 0.8088, 0.3668)  4 Rh 2.63-2.89, 4 Au 2.72-2.87, 1 Ta 2.82
Ta (0.5956, 0.1912, 0.6332)  4 Rh 2.63-2.89, 4 Au 2.72-2.87, 1 Ta 2.82
Ta (0.0956, 0.1912, 0.8668)  4 Rh 2.63-2.89, 4 Au 2.72-2.87, 1 Ta 2.82
Ta (0.9044, 0.8088, 0.1332)  4 Rh 2.63-2.89, 4 Au 2.72-2.87, 1 Ta 2.82
Rh (0.6139, 0.7278, 0.7500)  4 Ta 2.63-2.89, 2 Rh 2.74, 4 Au 2.89-2.91
Rh (0.3861, 0.2722, 0.2500)  4 Ta 2.63-2.89, 2 Rh 2.74, 4 Au 2.89-2.91
Rh (0.1139, 0.7278, 0.7500)  4 Ta 2.63-2.89, 2 Rh 2.74, 4 Au 2.89-2.91
Rh (0.8861, 0.2722, 0.2500)  4 Ta 2.63-2.89, 2 Rh 2.74, 4 Au 2.89-2.91

Calculated values
E_form   -0.087 eV per atom
Magnetization   0.000 μB/atom
Calculated total energy   -7.581 eV per atom
Polymorph energy (0 for the lowest one)   269 meV per atom

---

This record from Alexandria via LeMat-Bulk describes a relaxed structure of TaRhAu. The functional is PBE.

Lattice parameters (Å, degrees): 4.9658 4.9658 4.9658 144.31 135.69 58.14
Closest atoms and distances in Å follow each position.
Fractional positions:
Ta (0.6745, 0.6745, 0.0000)  5 Rh 2.74-3.03, 5 Au 2.83-2.85, 2 Ta 3.04
Au (0.0005, 0.0005, 0.0000)  5 Rh 2.82-2.85, 5 Ta 2.83-2.85, 2 Au 3.04
Rh (0.3250, 0.3250, 0.0000)  5 Ta 2.74-3.03, 5 Au 2.82-2.85, 2 Rh 3.04

Calculated values
E_form   -0.356 eV per atom
Magnetization   0.000 μB/atom
Calculated total energy   -7.850 eV per atom
Polymorph energy (0 for the lowest one)   0 meV per atom

---

This record from Alexandria via LeMat-Bulk describes a relaxed structure of TaRhAu. The functional is PBE.

Lattice parameters (Å, degrees): 4.3463 4.3463 4.3463 60.00 60.00 60.00
Closest atoms and distances in Å follow each position.
Fractional positions:
Au (0.5000, 0.5000, 0.5000)  4 Rh 2.66
Ta (0.0000, 0.0000, 0.0000)  4 Rh 2.66
Rh (0.7500, 0.7500, 0.7500)  4 Ta 2.66, 4 Au 2.66

Calculated values
E_form   0.156 eV per atom
Magnetization   0.000 μB/atom
Calculated total energy   -7.337 eV per atom
Polymorph energy (0 for the lowest one)   513 meV per atom